1.
This record from Alexandria describes PrZrBeIr2 after structural relaxation. The functional is PBE-GGA.

Unit cell a=4.0545 b=4.0545 c=11.9445 alpha=90.00 beta=90.00 gamma=90.00
With the nearest neighbours (Å) after each atom.
Space group I-4m2 (No. 119)
Inequivalent atoms, fractional coordinates:
Pr (0.0000, 0.0000, 0.0000) [2 per cell]  8 Ir 3.17
Zr (0.0000, 0.5000, 0.2500) [2 per cell]  4 Ir 2.61, 4 Be 2.87
Be (0.0000, 0.5000, 0.7500) [2 per cell]  4 Ir 2.61, 4 Zr 2.87
Ir (0.0000, 0.0000, 0.3874) [4 per cell]  2 Zr 2.61, 2 Be 2.61, 1 Ir 2.69

## Properties
Magnetic moment: 0.000 Bohr magnetons per cell
E_form: -569 meV per atom
Calculated volume: 196.4 Å³ per cell
Crystal system: tetragonal

---

2.
This record from Alexandria describes BeIr4Pt after structural relaxation. The functional is PBE-GGA.

Unit cell a=7.2493 b=7.2493 c=7.2493 alpha=90.00 beta=90.00 gamma=90.00
With the nearest neighbours (Å) after each atom.
Space group F-43m (No. 216)
Inequivalent atoms, fractional coordinates:
Be (0.0000, 0.0000, 0.0000) [4 per cell]  12 Ir 3.00, 4 Pt 3.14
Ir (0.1252, 0.1252, 0.3748) [16 per cell]  6 Ir 2.56-2.57
Pt (0.2500, 0.2500, 0.7500) [4 per cell]  12 Ir 3.01, 4 Be 3.14

## Properties
Magnetic moment: 0.004 Bohr magnetons per cell
E_form: 664 meV per atom
Calculated volume: 381.0 Å³ per cell
Crystal system: cubic

---

3.
This record from Alexandria describes Be5Ir4Pt after structural relaxation. The functional is PBE-GGA.

Unit cell a=2.8150 b=2.8150 c=14.0548 alpha=90.00 beta=90.00 gamma=90.00
With the nearest neighbours (Å) after each atom.
Space group P4/mmm (No. 123)
Inequivalent atoms, fractional coordinates:
Be (0.0000, 0.0000, 0.0000) [1 per cell]  8 Ir 2.43
Be (0.0000, 0.0000, 0.1990) [2 per cell]  8 Ir 2.43, 1 Be 2.71
Be (0.0000, 0.0000, 0.3920) [2 per cell]  4 Ir 2.39, 4 Pt 2.50
Ir (0.5000, 0.5000, 0.0993) [2 per cell]  8 Be 2.43
Ir (0.5000, 0.5000, 0.2981) [2 per cell]  8 Be 2.39-2.43
Pt (0.5000, 0.5000, 0.5000) [1 per cell]  8 Be 2.50

## Properties
Magnetic moment: 0.000 Bohr magnetons per cell
E_form: -614 meV per atom
Calculated volume: 111.4 Å³ per cell
Crystal system: tetragonal